# 1
Tb3Ga9Rh2 | PBE | relaxed

## Properties
- Space-group type: Immm
- Total energy: -65.405 eV per cell
- Total magnetization: 0.00 μB per formula unit
- DOS at the Fermi energy: 0.32 states/eV/atom
- Formation energy: -9.57 eV per formula unit

POSCAR file:
```
Tb3Ga9Rh2
1.0
-2.135 4.750 6.242
2.135 -4.750 6.242
2.135 4.750 -6.242
Tb Ga Rh
3 9 2
direct
0.000 0.000 0.000
0.300 0.300 0.000
0.700 0.700 0.000
0.018 0.654 0.364
0.148 0.866 0.282
0.291 0.654 0.636
0.416 0.134 0.282
0.500 0.000 0.500
0.584 0.866 0.718
0.709 0.346 0.364
0.852 0.134 0.718
0.982 0.346 0.636
0.322 0.500 0.822
0.678 0.500 0.178
```

# 2
NaLiEuZn | PBE | relaxed

## Properties
- Space-group type: F-43m
- Total energy: -14.684 eV per cell
- Total magnetization: 7.56 μB per formula unit
- DOS at the Fermi energy: 2.20 states/eV/atom
- Formation energy: 0.10 eV per formula unit

POSCAR file:
```
NaLiEuZn
1.0
0.000 3.775 3.775
3.775 0.000 3.775
3.775 3.775 0.000
Na Li Eu Zn
1 1 1 1
direct
0.000 0.000 0.000
0.250 0.250 0.250
0.500 0.500 0.500
0.750 0.750 0.750
```

# 3
ZrTa2Cd | PBE | relaxed

## Properties
- Space-group type: R3m
- Total energy: -32.277 eV per cell
- Total magnetization: 0.00 μB per formula unit
- DOS at the Fermi energy: 1.31 states/eV/atom
- Formation energy: 0.89 eV per formula unit

POSCAR file:
```
ZrTa2Cd
1.0
1.536 0.887 9.989
-1.536 0.887 9.989
0.000 -1.774 9.989
Zr Ta Cd
1 2 1
direct
0.000 0.000 0.000
0.251 0.251 0.251
0.505 0.505 0.505
0.755 0.755 0.755
```